1.
The following is a DFT calculation (PBE) of crystalline Mn2ZnBRu at its relaxed geometry.

Cell lengths 4.571, 4.571, 3.678 Å; angles 90.00, 90.00, 90.00 degrees
Space group P4/mmm (No. 123)
One atom of each set of equivalent atoms:
Mn 0.000 0.500 0.000 [2 per cell]
Zn 0.000 0.000 0.000 [1 per cell]
B 0.000 0.000 0.500 [1 per cell]
Ru 0.500 0.500 0.500 [1 per cell]

Computed properties:
Mass density ... 6.21 Mg/m³
VASP energy ... -5.78 eV/atom

=====

2.
The following is a DFT calculation (PBE) of crystalline NiIr2Se at its relaxed geometry.

Cell lengths 2.943, 2.943, 6.616 Å; angles 90.00, 90.00, 90.00 degrees
Space group P4/mmm (No. 123)
One atom of each set of equivalent atoms:
Ni 0.000 0.000 0.000 [1 per cell]
Ir 0.500 0.500 0.232 [2 per cell]
Se 0.000 0.000 0.500 [1 per cell]

Computed properties:
ΔE to the lowest computed polymorph ... 0.139 eV/atom
Mass density ... 15.13 Mg/m³
Formation energy from raw total energies ... 36.5 kJ per mole of atoms

=====

3.
The following is a DFT calculation (PBE) of crystalline Tc2CI at its relaxed geometry.

Cell lengths 6.109, 6.109, 6.109 Å; angles 90.00, 90.00, 90.00 degrees
Space group Fm-3m (No. 225)
One atom of each set of equivalent atoms:
Tc 0.250 0.250 0.250 [8 per cell]
C 0.000 0.000 0.000 [4 per cell]
I 0.000 0.000 0.500 [4 per cell]

Computed properties:
ΔE to the lowest computed polymorph ... 0.756 eV/atom
Mass density ... 9.76 Mg/m³
Formation energy from raw total energies ... 150.9 kJ per mole of atoms

=====

4.
The following is a DFT calculation (PBE) of crystalline AcHo3In2 at its relaxed geometry.

Cell lengths 16.752, 5.465, 9.221 Å; angles 90.00, 117.48, 90.00 degrees
Space group C2/m (No. 12)
One atom of each set of equivalent atoms:
Ac 0.131 0.000 0.177 [4 per cell]
Ho 0.064 0.000 0.715 [4 per cell]
Ho 0.114 0.500 0.532 [4 per cell]
Ho 0.195 0.500 0.984 [4 per cell]
In 0.007 0.500 0.163 [4 per cell]
In 0.225 0.000 0.605 [4 per cell]

Computed properties:
ΔE to the lowest computed polymorph ... 0.056 eV/atom
Mass density ... 8.44 Mg/m³

=====

5.
The following is a DFT calculation (PBE) of crystalline K2ZnCd4 at its relaxed geometry.

Cell lengths 5.206, 5.206, 18.157 Å; angles 90.00, 90.00, 90.00 degrees
Space group I4/mmm (No. 139)
One atom of each set of equivalent atoms:
K 0.000 0.000 0.153 [4 per cell]
Zn 0.000 0.000 0.500 [2 per cell]
Cd 0.000 0.000 0.350 [4 per cell]
Cd 0.000 0.500 0.000 [4 per cell]

Computed properties:
Mass density ... 4.00 Mg/m³
VASP energy ... -0.94 eV/atom

=====

6.
The following is a DFT calculation (PBE) of crystalline Rh7C at its relaxed geometry.

Cell lengths 7.584, 7.584, 7.584 Å; angles 90.00, 90.00, 90.00 degrees
Space group Fm-3m (No. 225)
One atom of each set of equivalent atoms:
Rh 0.000 0.000 0.000 [4 per cell]
Rh 0.000 0.250 0.250 [24 per cell]
C 0.000 0.000 0.500 [4 per cell]

Computed properties:
Mass density ... 11.15 Mg/m³
VASP energy ... -6.99 eV/atom

=====

7.
The following is a DFT calculation (PBE) of crystalline ZnSn3Pb at its relaxed geometry.

Cell lengths 5.865, 5.865, 5.865 Å; angles 90.00, 90.00, 90.00 degrees
Space group Pm-3m (No. 221)
One atom of each set of equivalent atoms:
Zn 0.000 0.000 0.000 [1 per cell]
Sn 0.000 0.500 0.500 [3 per cell]
Pb 0.500 0.500 0.500 [1 per cell]

Computed properties:
ΔE to the lowest computed polymorph ... 0.561 eV/atom
Mass density ... 5.17 Mg/m³

=====

8.
The following is a DFT calculation (PBE) of crystalline InTe4W at its relaxed geometry.

Cell lengths 8.979, 8.979, 8.979 Å; angles 90.00, 90.00, 90.00 degrees
Space group F-43m (No. 216)
One atom of each set of equivalent atoms:
In 0.000 0.000 0.000 [4 per cell]
Te 0.123 0.123 0.623 [16 per cell]
W 0.250 0.250 0.250 [4 per cell]

Computed properties:
Mass density ... 7.42 Mg/m³
Formation energy from raw total energies ... 112.4 kJ per mole of atoms

=====

9.
The following is a DFT calculation (PBE) of crystalline Ac2SbP3Rh12 at its relaxed geometry.

Cell lengths 8.1338, 8.1338, 18.1983 Å; angles 90.00, 90.00, 120.00 degrees
Space group R-3m (No. 166, hexagonal axes)
One atom of each set of equivalent atoms:
Ac 0.0000 0.0000 0.1070 [6 per cell]
Sb 0.0000 0.0000 0.5000 [3 per cell]
P 0.0000 0.5000 0.0000 [9 per cell]
Rh 0.0087 0.5043 0.8761 [18 per cell]
Rh 0.0462 0.5231 0.3606 [18 per cell]

Computed properties:
Mass density ... 9.09 Mg/m³
Formation energy from raw total energies ... -27.6 kJ per mole of atoms

=====

10.
The following is a DFT calculation (PBE) of crystalline YIn2Fe2 at its relaxed geometry.

Cell lengths 4.341, 4.341, 10.686 Å; angles 90.00, 90.00, 90.00 degrees
Space group I4/mmm (No. 139)
One atom of each set of equivalent atoms:
Y 0.000 0.000 0.000 [2 per cell]
In 0.000 0.500 0.250 [4 per cell]
Fe 0.000 0.000 0.403 [4 per cell]

Computed properties:
ΔE to the lowest computed polymorph ... 0.000 eV/atom
Mass density ... 7.09 Mg/m³

=====

11.
The following is a DFT calculation (PBE) of crystalline AsAuO3 at its relaxed geometry.

Cell lengths 3.803, 3.803, 3.803 Å; angles 90.00, 90.00, 90.00 degrees
Space group Pm-3m (No. 221)
One atom of each set of equivalent atoms:
As 0.000 0.000 0.000 [1 per cell]
Au 0.500 0.500 0.500 [1 per cell]
O 0.000 0.000 0.500 [3 per cell]

Computed properties:
Mass density ... 9.66 Mg/m³
Formation energy from raw total energies ... -12.5 kJ per mole of atoms

=====

12.
The following is a DFT calculation (PBE) of crystalline Tb2B6Os at its relaxed geometry.

Cell lengths 9.201, 11.569, 3.675 Å; angles 90.00, 90.00, 90.00 degrees
Space group Pbam (No. 55)
One atom of each set of equivalent atoms:
Tb 0.056 0.127 0.000 [4 per cell]
Tb 0.177 0.413 0.000 [4 per cell]
B 0.016 0.287 0.500 [4 per cell]
B 0.054 0.567 0.500 [4 per cell]
B 0.112 0.969 0.500 [4 per cell]
B 0.132 0.814 0.500 [4 per cell]
B 0.210 0.232 0.500 [4 per cell]
B 0.247 0.580 0.500 [4 per cell]
Os 0.137 0.678 0.000 [4 per cell]

Computed properties:
Mass density ... 9.73 Mg/m³
VASP energy ... -7.36 eV/atom

=====

13.
The following is a DFT calculation (PBE) of crystalline CrNiHIr at its relaxed geometry.

Cell lengths 2.690, 2.690, 11.079 Å; angles 90.00, 90.00, 90.00 degrees
Space group I4mm (No. 107)
One atom of each set of equivalent atoms:
Cr 0.000 0.000 0.000 [2 per cell]
Ni 0.000 0.000 0.336 [2 per cell]
H 0.000 0.000 0.824 [2 per cell]
Ir 0.000 0.000 0.650 [2 per cell]

Computed properties:
ΔE to the lowest computed polymorph ... 0.091 eV/atom
Mass density ... 12.59 Mg/m³

=====

14.
The following is a DFT calculation (PBE) of crystalline KMnHgCl6 at its relaxed geometry.

Cell lengths 6.7405, 6.7405, 13.5425 Å; angles 90.00, 90.00, 120.00 degrees
Space group P-31c (No. 163)
One atom of each set of equivalent atoms:
K 0.0000 0.0000 0.0000 [2 per cell]
Mn 0.3333 0.6667 0.2500 [2 per cell]
Hg 0.3333 0.6667 0.7500 [2 per cell]
Cl 0.0345 0.3908 0.1453 [12 per cell]

Computed properties:
Mass density ... 3.16 Mg/m³
Formation energy from raw total energies ... -100.6 kJ per mole of atoms

=====

15.
The following is a DFT calculation (PBE) of crystalline SiHg2Mo at its relaxed geometry.

Cell lengths 3.0547, 3.0547, 28.2008 Å; angles 90.00, 90.00, 120.00 degrees
Space group R-3m (No. 166, hexagonal axes)
One atom of each set of equivalent atoms:
Si 0.0000 0.0000 0.0000 [3 per cell]
Hg 0.0000 0.0000 0.2494 [6 per cell]
Mo 0.0000 0.0000 0.5000 [3 per cell]

Computed properties:
Mass density ... 11.48 Mg/m³
Formation energy from raw total energies ... 67.2 kJ per mole of atoms

=====

16.
The following is a DFT calculation (PBE) of crystalline PmSbO4 at its relaxed geometry.

Cell lengths 7.749, 5.518, 7.700 Å; angles 90.00, 99.77, 90.00 degrees
Space group P2_1/c (No. 14)
One atom of each set of equivalent atoms:
Pm 0.148 0.225 0.396 [4 per cell]
Sb 0.337 0.732 0.196 [4 per cell]
O 0.119 0.523 0.174 [4 per cell]
O 0.174 0.001 0.126 [4 per cell]
O 0.330 0.632 0.942 [4 per cell]
O 0.437 0.091 0.802 [4 per cell]

Computed properties:
ΔE to the lowest computed polymorph ... 0.000 eV/atom
Mass density ... 6.77 Mg/m³
Formation energy from raw total energies ... -227.0 kJ per mole of atoms

=====

17.
The following is a DFT calculation (PBE) of crystalline Pm14ErZr at its relaxed geometry.

Cell lengths 10.195, 10.217, 10.215 Å; angles 90.00, 90.00, 90.00 degrees
Space group Amm2 (No. 38)
One atom of each set of equivalent atoms:
Pm 0.000 0.000 0.000 [2 per cell]
Pm 0.000 0.000 0.499 [2 per cell]
Pm 0.000 0.250 0.250 [4 per cell]
Pm 0.257 0.000 0.255 [4 per cell]
Pm 0.257 0.000 0.745 [4 per cell]
Pm 0.257 0.245 0.500 [8 per cell]
Pm 0.500 0.250 0.250 [4 per cell]
Er 0.500 0.000 0.999 [2 per cell]
Zr 0.500 0.000 0.500 [2 per cell]

Computed properties:
Mass density ... 7.14 Mg/m³
VASP energy ... -4.93 eV/atom

=====

18.
The following is a DFT calculation (PBE) of crystalline Pm2CoS at its relaxed geometry.

Cell lengths 4.038, 23.150, 3.974 Å; angles 90.00, 90.00, 90.00 degrees
Space group Cmcm (No. 63)
One atom of each set of equivalent atoms:
Pm 0.000 0.067 0.250 [4 per cell]
Pm 0.000 0.312 0.250 [4 per cell]
Co 0.000 0.477 0.250 [4 per cell]
S 0.000 0.191 0.250 [4 per cell]

Computed properties:
Mass density ... 6.81 Mg/m³
Formation energy from raw total energies ... -102.2 kJ per mole of atoms

=====

19.
The following is a DFT calculation (PBE) of crystalline TiAg5S5 at its relaxed geometry.

Cell lengths 13.820, 4.608, 7.337 Å; angles 90.00, 104.43, 90.00 degrees
Space group C2/m (No. 12)
One atom of each set of equivalent atoms:
Ti 0.000 0.000 0.000 [2 per cell]
Ag 0.000 0.000 0.500 [2 per cell]
Ag 0.175 0.500 0.442 [4 per cell]
Ag 0.210 0.500 0.863 [4 per cell]
S 0.000 0.500 0.000 [2 per cell]
S 0.129 0.000 0.313 [4 per cell]
S 0.133 0.000 0.818 [4 per cell]

Computed properties:
Mass density ... 5.49 Mg/m³
Formation energy from raw total energies ... -25.0 kJ per mole of atoms

=====

20.
The following is a DFT calculation (PBE) of crystalline NbGaBi at its relaxed geometry.

Cell lengths 14.006, 3.992, 4.931 Å; angles 90.00, 90.00, 90.00 degrees
Space group Amm2 (No. 38)
One atom of each set of equivalent atoms:
Nb 0.126 0.000 0.000 [4 per cell]
Ga 0.000 0.000 0.505 [2 per cell]
Ga 0.500 0.000 0.930 [2 per cell]
Bi 0.291 0.000 0.564 [4 per cell]

Computed properties:
Mass density ... 8.95 Mg/m³
VASP energy ... -5.55 eV/atom